Below is a relaxed structure of TmCo4Si2, with properties calculated at the PBE level.

Unit cell a=3.5971 b=7.1010 c=7.1010 alpha=90.00 beta=90.00 gamma=90.00
Last column: nearest neighbours and their distance in Å.
Fractional positions:
Tm 0.5000 0.0000 0.0000  6 Si 2.77-2.88, 8 Co 3.10
Tm 0.0000 0.5000 0.5000  6 Si 2.77-2.88, 8 Co 3.10
Co 0.0000 0.0801 0.3462  3 Si 2.33, 5 Co 2.46-2.50
Co 0.0000 0.9199 0.6538  3 Si 2.33, 5 Co 2.46-2.50
Co 0.5000 0.1538 0.5801  3 Si 2.33, 5 Co 2.46-2.50
Co 0.5000 0.8462 0.4199  3 Si 2.33, 5 Co 2.46-2.50
Co 0.5000 0.4199 0.8462  3 Si 2.33, 5 Co 2.46-2.50
Co 0.5000 0.5801 0.1538  3 Si 2.33, 5 Co 2.46-2.50
Co 0.0000 0.3462 0.0801  3 Si 2.33, 5 Co 2.46-2.50
Co 0.0000 0.6538 0.9199  3 Si 2.33, 5 Co 2.46-2.50
Si 0.0000 0.2243 0.7757  6 Co 2.33
Si 0.0000 0.7757 0.2243  6 Co 2.33
Si 0.5000 0.7243 0.7243  6 Co 2.33
Si 0.5000 0.2757 0.2757  6 Co 2.33

Summary:
- ΔE_f (raw) (eV per atom) = -0.574
- DOS(E_F) (states/eV/atom) = 0.9375


Below is a relaxed structure of TmCoSi, with properties calculated at the PBE level.

Unit cell a=4.1270 b=6.7525 c=6.9617 alpha=90.00 beta=90.00 gamma=90.00
Last column: nearest neighbours and their distance in Å.
Fractional positions:
Si 0.2500 0.8023 0.1037  4 Co 2.37-2.52
Si 0.2500 0.3023 0.3963  4 Co 2.37-2.52
Si 0.7500 0.1977 0.8963  4 Co 2.37-2.52
Si 0.7500 0.6977 0.6037  4 Co 2.37-2.52
Tm 0.7500 0.5127 0.1915  4 Co 2.82-2.89, 6 Si 2.88-3.13
Tm 0.2500 0.9873 0.6915  4 Co 2.82-2.89, 6 Si 2.88-3.13
Tm 0.7500 0.0127 0.3085  4 Co 2.82-2.89, 6 Si 2.88-3.13
Tm 0.2500 0.4873 0.8085  4 Co 2.82-2.89, 6 Si 2.88-3.13
Co 0.2500 0.6505 0.4343  4 Si 2.37-2.52
Co 0.2500 0.1505 0.0657  4 Si 2.37-2.52
Co 0.7500 0.8495 0.9343  4 Si 2.37-2.52
Co 0.7500 0.3495 0.5657  4 Si 2.37-2.52

Summary:
- ΔE_f (raw) (eV per atom) = -0.765
- DOS(E_F) (states/eV/atom) = 0.6580


Below is a relaxed structure of TmCo2Si2, with properties calculated at the PBE level.

Unit cell a=5.5628 b=5.5628 c=5.5628 alpha=139.51 beta=139.51 gamma=58.59
Last column: nearest neighbours and their distance in Å.
Fractional positions:
Tm 0.0000 0.0000 0.0000  8 Si 2.99, 8 Co 3.10
Co 0.2500 0.7500 0.5000  4 Si 2.27
Co 0.7500 0.2500 0.5000  4 Si 2.27
Si 0.6268 0.6268 0.0000  4 Co 2.27, 1 Si 2.46
Si 0.3732 0.3732 0.0000  4 Co 2.27, 1 Si 2.46

Summary:
- ΔE_f (raw) (eV per atom) = -0.832
- DOS(E_F) (states/eV/atom) = 0.5900


Below is a relaxed structure of Tm3Co6Si5, with properties calculated at the PBE level.

Unit cell a=3.8254 b=9.2507 c=11.5949 alpha=90.00 beta=90.00 gamma=90.00
Last column: nearest neighbours and their distance in Å.
Fractional positions:
Tm 0.0000 0.2547 0.6619  8 Co 2.86-3.19, 6 Si 2.89-2.99
Tm 0.5000 0.7453 0.1619  8 Co 2.86-3.19, 6 Si 2.89-2.99
Tm 0.5000 0.7453 0.8381  8 Co 2.86-3.19, 6 Si 2.89-2.99
Tm 0.0000 0.2475 0.0000  6 Si 2.81-2.92, 6 Co 2.88-3.01
Tm 0.5000 0.7525 0.5000  6 Si 2.81-2.92, 6 Co 2.88-3.01
Tm 0.0000 0.2547 0.3381  8 Co 2.86-3.19, 6 Si 2.89-2.99
Co 0.0000 0.0082 0.8302  4 Si 2.26-2.32
Co 0.5000 0.9918 0.6698  4 Si 2.26-2.32
Co 0.5000 0.4034 0.8024  4 Si 2.27-2.39, 1 Co 2.46
Co 0.5000 0.4988 0.0000  4 Si 2.36, 2 Co 2.46
Co 0.0000 0.5012 0.5000  4 Si 2.36, 2 Co 2.46
Co 0.0000 0.5966 0.6976  4 Si 2.27-2.39, 1 Co 2.46
Co 0.0000 0.5966 0.3024  4 Si 2.27-2.39, 1 Co 2.46
Co 0.5000 0.0154 0.0000  4 Si 2.25-2.34
Co 0.0000 0.0082 0.1698  4 Si 2.26-2.32
Co 0.5000 0.4034 0.1976  4 Si 2.27-2.39, 1 Co 2.46
Co 0.0000 0.9846 0.5000  4 Si 2.25-2.34
Co 0.5000 0.9918 0.3302  4 Si 2.26-2.32
Si 0.0000 0.5127 0.8812  5 Co 2.27-2.36
Si 0.0000 0.8533 0.6724  5 Co 2.30-2.39
Si 0.0000 0.8882 0.0000  4 Co 2.25-2.26
Si 0.5000 0.4873 0.6188  5 Co 2.27-2.36
Si 0.5000 0.1118 0.5000  4 Co 2.25-2.26
Si 0.0000 0.5127 0.1188  5 Co 2.27-2.36
Si 0.5000 0.4873 0.3812  5 Co 2.27-2.36
Si 0.0000 0.8533 0.3276  5 Co 2.30-2.39
Si 0.5000 0.1467 0.8276  5 Co 2.30-2.39
Si 0.5000 0.1467 0.1724  5 Co 2.30-2.39

Summary:
- ΔE_f (raw) (eV per atom) = -0.726
- DOS(E_F) (states/eV/atom) = 0.5730


Below is a relaxed structure of TmCo2Si4, with properties calculated at the PBE level.

Unit cell a=3.9013 b=6.1852 c=16.0528 alpha=90.00 beta=90.00 gamma=90.00
Last column: nearest neighbours and their distance in Å.
Fractional positions:
Tm 0.7500 0.0084 0.6410  9 Si 2.76-3.05, 4 Co 3.05
Tm 0.2500 0.9916 0.3590  9 Si 2.76-3.05, 4 Co 3.05
Tm 0.2500 0.5084 0.8590  9 Si 2.76-3.05, 4 Co 3.05
Tm 0.7500 0.4916 0.1410  9 Si 2.76-3.05, 4 Co 3.05
Co 0.2500 0.7476 0.5345  7 Si 2.31-2.43
Co 0.7500 0.2524 0.4655  7 Si 2.31-2.43
Co 0.7500 0.2476 0.9655  7 Si 2.31-2.43
Co 0.2500 0.7524 0.0345  7 Si 2.31-2.43
Co 0.2500 0.9842 0.7872  7 Si 2.31-2.50
Co 0.7500 0.0158 0.2128  7 Si 2.31-2.50
Co 0.7500 0.4842 0.7128  7 Si 2.31-2.50
Co 0.2500 0.5158 0.2872  7 Si 2.31-2.50
Si 0.2500 0.2862 0.6993  3 Co 2.31-2.34, 1 Si 2.49
Si 0.7500 0.7138 0.3007  3 Co 2.31-2.34, 1 Si 2.49
Si 0.7500 0.7862 0.8007  3 Co 2.31-2.34, 1 Si 2.49
Si 0.2500 0.2138 0.1993  3 Co 2.31-2.34, 1 Si 2.49
Si 0.2500 0.6862 0.6817  4 Co 2.37-2.50, 1 Si 2.49
Si 0.7500 0.3138 0.3183  4 Co 2.37-2.50, 1 Si 2.49
Si 0.7500 0.1862 0.8183  4 Co 2.37-2.50, 1 Si 2.49
Si 0.2500 0.8138 0.1817  4 Co 2.37-2.50, 1 Si 2.49
Si 0.2500 0.1359 0.5279  3 Co 2.31-2.40, 1 Si 2.58
Si 0.7500 0.8641 0.4721  3 Co 2.31-2.40, 1 Si 2.58
Si 0.7500 0.6359 0.9721  3 Co 2.31-2.40, 1 Si 2.58
Si 0.2500 0.3641 0.0279  3 Co 2.31-2.40, 1 Si 2.58
Si 0.2500 0.4728 0.4334  4 Co 2.35-2.43, 1 Si 2.58
Si 0.7500 0.5272 0.5666  4 Co 2.35-2.43, 1 Si 2.58
Si 0.7500 0.9728 0.0666  4 Co 2.35-2.43, 1 Si 2.58
Si 0.2500 0.0272 0.9334  4 Co 2.35-2.43, 1 Si 2.58

Summary:
- ΔE_f (raw) (eV per atom) = -0.616
- DOS(E_F) (states/eV/atom) = 0.2485


Below is a relaxed structure of Tm8Co2Si, with properties calculated at the PBE level.

Unit cell a=5.7564 b=7.3666 c=7.3666 alpha=112.83 beta=99.32 gamma=99.32
Last column: nearest neighbours and their distance in Å.
Fractional positions:
Tm 0.5778 0.3398 0.0750  2 Co 2.69-2.72
Tm 0.5778 0.0750 0.3398  2 Co 2.69-2.72
Tm 0.1884 0.3780 0.3780  2 Co 2.89, 1 Si 2.98
Tm 0.9862 0.2258 0.7740  1 Si 2.92, 2 Co 3.05-3.08, 1 Tm 3.26
Tm 0.9862 0.7740 0.2258  1 Si 2.92, 2 Co 3.05-3.08, 1 Tm 3.26
Tm 0.7979 0.6384 0.6384  2 Co 2.92, 1 Si 3.07
Tm 0.3783 0.9310 0.6606  2 Co 2.71-2.72, 1 Si 2.96
Tm 0.3783 0.6606 0.9310  2 Co 2.71-2.72, 1 Si 2.96
Co 0.4907 0.6914 0.3157  6 Tm 2.69-2.92
Co 0.4907 0.3157 0.6914  6 Tm 2.69-2.92
Si 0.1473 0.0043 0.0043  8 Tm 2.92-3.07

Summary:
- ΔE_f (raw) (eV per atom) = -0.164
- DOS(E_F) (states/eV/atom) = 0.8537


Q: Among the records above, which one has the highest ΔE_f (raw)?
A: Tm8Co2Si


Q: Among the records above, which one has the highest ΔE_f (raw)?
A: Tm8Co2Si